The following is a PBE-GGA calculation of a relaxed Pm2Er2Sc crystal, from Alexandria.

Cell lengths 3.7056, 12.8463, 13.2134 Å; angles 90.00, 90.00, 90.00 degrees
Closest atoms and distances in Å follow each position.
Space group Cmc2_1 (No. 36)
Asymmetric unit:
Pm 0.0000 0.0018 0.0000  5 Er 3.52-3.75, 3 Sc 3.68-3.76, 2 Pm 3.71
Pm 0.0000 0.3879 0.7555  4 Er 3.30-3.46, 2 Sc 3.38
Er 0.0000 0.1003 0.7516  2 Sc 3.16, 2 Er 3.27, 3 Pm 3.30-3.52
Er 0.0000 0.2670 0.0931  2 Sc 3.18, 2 Er 3.27, 2 Pm 3.46
Sc 0.0000 0.2727 0.4013  4 Er 3.16-3.18, 2 Pm 3.38

ρ	7.07	g/cm3
ΔH_f (0 K)	0.112	eV per atom
final energy	-4.880	eV per atom

---

The following is a PBE-GGA calculation of a relaxed PmEr12Sc7 crystal, from Alexandria.

Cell lengths 16.0414, 16.0414, 7.9505 Å; angles 90.00, 90.00, 120.00 degrees
Closest atoms and distances in Å follow each position.
Space group R-3m (No. 166, hexagonal axes)
Asymmetric unit:
Pm 0.0000 0.0000 0.0000  8 Sc 3.75-3.98, 6 Er 3.97
Er 0.0000 0.2825 0.0000  2 Er 3.00, 4 Sc 3.22-3.23
Er 0.1107 0.2215 0.3153  4 Sc 3.11-3.41, 1 Er 3.12
Sc 0.0000 0.0000 0.5000  6 Er 3.41, 6 Sc 3.60
Sc 0.1112 0.2224 0.7325  7 Er 3.11-3.32, 1 Sc 3.47

ρ	6.94	g/cm3
ΔH_f (0 K)	0.269	eV per atom
final energy	-4.923	eV per atom

---

no.,calculated volume (Å³ per cell)
1,629.0
2,1771.8